A plane-wave DFT calculation with PBE was carried out for a geometry-optimized LiNdRu structure.

```
LiNdRu
1.0
4.445 0.000 0.000
0.000 5.523 0.000
-2.223 0.000 4.826
Li Ru Nd
2 2 2
direct
0.000 0.000 0.000
0.000 0.500 0.000
0.584 0.750 0.168
0.416 0.250 0.832
0.295 0.750 0.589
0.705 0.250 0.411
```

Output
N(E_F), states/eV/cell: 2.414
Space-group type: Cmcm, No. 63
Excess energy over the best structure of this formula in the dataset, meV/atom: 0.0
Energy, eV per atom: -5.33
M_tot, Bohr magnetons per cell: 0.0

***

A plane-wave DFT calculation with PBE was carried out for a geometry-optimized Na5Np3Te8 structure.

```
Na5Np3Te8
1.0
-7.956 -3.560 2.201
-0.388 -7.020 5.602
-3.258 1.114 8.383
Na Np Te
5 3 8
direct
0.000 0.000 0.000
0.000 0.500 0.000
0.500 0.500 0.000
0.500 0.000 0.000
0.500 0.500 0.500
0.500 0.000 0.500
0.000 0.500 0.500
0.000 0.000 0.500
0.750 0.231 0.270
0.750 0.750 0.270
0.755 0.755 0.734
0.231 0.750 0.270
0.245 0.245 0.266
0.250 0.250 0.730
0.250 0.769 0.730
0.769 0.250 0.730
```

Output
N(E_F), states/eV/cell: 28.336
Space-group type: R-3m, No. 166
Energy, eV per atom: -5.22
Energy relative to the elements, uncorrected, eV per formula unit: -12.98
M_tot, Bohr magnetons per cell: 10.0

***

A plane-wave DFT calculation with PBE was carried out for a geometry-optimized Li2AcPmHg4 structure.

```
Li2AcPmHg4
1.0
5.090 0.000 0.000
2.545 4.408 0.000
2.545 1.469 9.135
Hg Ac Li Pm
4 1 2 1
direct
0.387 0.387 0.838
0.876 0.876 0.372
0.124 0.124 0.628
0.613 0.613 0.162
0.000 0.000 0.000
0.758 0.758 0.725
0.242 0.242 0.275
0.500 0.500 0.500
```

Output
N(E_F), states/eV/cell: 4.864
Space-group type: R-3m, No. 166
Energy, eV per atom: -2.17
M_tot, Bohr magnetons per cell: 0.0

***

A plane-wave DFT calculation with PBE was carried out for a geometry-optimized BeTc2Te structure.

```
BeTc2Te
1.0
-3.938 -1.197 -1.344
1.242 -2.437 -1.466
-0.519 -2.518 3.762
Tc Be Te
2 1 1
direct
0.500 0.376 0.199
0.000 0.876 0.005
0.500 0.873 0.752
0.000 0.375 0.544
```

Output
N(E_F), states/eV/cell: 2.108
Space-group type: Pm, No. 6
Excess energy over the best structure of this formula in the dataset, meV/atom: 187.8
Energy, eV per atom: -6.58
Energy relative to the elements, uncorrected, eV per formula unit: 1.28
M_tot, Bohr magnetons per cell: 0.0